# 1
! PrSm3Pt2 (PBE, relaxed); values from VASP
&SYSTEM
  ibrav = 0, nat = 12, ntyp = 3
/
ATOMIC_SPECIES
Pr 140.91 Pr.upf
Sm 150.36 Sm.upf
Pt 195.08 Pt.upf
CELL_PARAMETERS angstrom
8.364 -2.670 0.000
8.364 2.670 0.000
-0.579 0.000 7.492
ATOMIC_POSITIONS crystal
Pr 0.195 0.195 0.334
Pr 0.805 0.805 0.666
Sm 0.035 0.035 0.775
Sm 0.338 0.338 0.007
Sm 0.395 0.395 0.478
Sm 0.605 0.605 0.522
Sm 0.662 0.662 0.993
Sm 0.965 0.965 0.225
Pt 0.210 0.210 0.727
Pt 0.489 0.489 0.808
Pt 0.511 0.511 0.192
Pt 0.790 0.790 0.273
! - Space group: C2/m (12)
! - Spin magnetization: 0.000 μB per atom
! - Calculated formation energy: -727 meV/atom


# 2
! PrSmPt2 (PBE, relaxed); values from VASP
&SYSTEM
  ibrav = 0, nat = 4, ntyp = 3
/
ATOMIC_SPECIES
Pr 140.91 Pr.upf
Sm 150.36 Sm.upf
Pt 195.08 Pt.upf
CELL_PARAMETERS angstrom
2.093 1.208 6.860
-2.093 1.208 6.860
0.000 -2.417 6.860
ATOMIC_POSITIONS crystal
Pr 0.000 0.000 0.000
Sm 0.500 0.500 0.500
Pt 0.248 0.248 0.248
Pt 0.752 0.752 0.752
! - Space group: R-3m (166)
! - Spin magnetization: 0.000 μB per atom
! - Calculated formation energy: -1054 meV/atom